(1)
LaSm2HoS4, relaxed, DFT PBE; uncorrected formation energy = -16.29 eV/f.u.; total moment = 0.00 μB/atom
1.0
-2.331 -2.262 2.303
2.732 -5.773 -2.905
3.785 1.752 5.552
Sm S Ho La
2 4 1 1
Direct
0.000 0.500 0.500 Sm
0.500 0.000 0.500 Sm
0.000 0.262 0.755 S
0.000 0.738 0.245 S
0.500 0.261 0.253 S
0.500 0.739 0.747 S
0.500 0.500 0.000 Ho
0.000 0.000 0.000 La

(2)
LaSmHo2S6, relaxed, DFT PBE; uncorrected formation energy = -20.76 eV/f.u.; total moment = 0.00 μB/atom
1.0
7.055 0.000 0.000
3.527 6.110 0.000
3.527 2.037 6.176
S Sm Ho La
6 1 2 1
Direct
0.627 0.227 0.245 S
0.142 0.388 0.745 S
0.902 0.627 0.245 S
0.227 0.902 0.245 S
0.726 0.141 0.745 S
0.387 0.726 0.745 S
0.312 0.312 0.064 Sm
0.015 0.015 0.956 Ho
0.517 0.517 0.448 Ho
0.807 0.807 0.579 La

(3)
La4Sm3HoS8, relaxed, DFT PBE; uncorrected formation energy = -33.45 eV/f.u.; total moment = 0.00 μB/atom
1.0
8.119 0.000 0.000
0.000 8.151 0.017
-4.059 -4.055 5.743
La S Sm Ho
4 8 3 1
Direct
0.500 0.000 0.500 La
0.000 0.000 0.000 La
0.500 0.000 0.000 La
0.000 0.000 0.500 La
0.751 0.735 0.993 S
0.746 0.739 0.493 S
0.758 0.265 0.007 S
0.242 0.735 0.484 S
0.242 0.735 0.993 S
0.249 0.265 0.007 S
0.758 0.265 0.516 S
0.254 0.261 0.507 S
0.500 0.500 0.500 Sm
0.500 0.500 0.000 Sm
0.000 0.500 0.500 Sm
0.000 0.500 0.000 Ho

(4)
LaSmHoS3, relaxed, DFT PBE; uncorrected formation energy = -11.06 eV/f.u.; total moment = 0.08 μB/atom
1.0
3.990 0.000 0.000
0.000 7.660 -0.033
0.000 -2.007 9.945
Ho Sm S La
2 2 6 2
Direct
0.250 0.665 0.093 Ho
0.750 0.335 0.907 Ho
0.750 0.810 0.380 Sm
0.250 0.190 0.620 Sm
0.250 0.532 0.821 S
0.750 0.189 0.427 S
0.750 0.468 0.179 S
0.250 0.811 0.573 S
0.750 0.903 0.112 S
0.250 0.097 0.888 S
0.750 0.820 0.796 La
0.250 0.180 0.204 La

(5)
La3Sm2HoS6, relaxed, DFT PBE; uncorrected formation energy = -25.13 eV/f.u.; total moment = 0.00 μB/atom
1.0
7.020 -0.008 -0.002
-3.515 6.077 -0.002
-1.172 -2.028 6.664
S La Ho Sm
6 3 1 2
Direct
0.078 0.404 0.234 S
0.247 0.247 0.763 S
0.753 0.753 0.237 S
0.404 0.078 0.234 S
0.922 0.596 0.766 S
0.596 0.922 0.766 S
0.831 0.169 0.500 La
0.500 0.500 0.500 La
0.169 0.831 0.500 La
0.000 0.000 0.000 Ho
0.333 0.667 0.000 Sm
0.667 0.333 0.000 Sm

(6)
La2Sm3HoS6, relaxed, DFT PBE; uncorrected formation energy = -24.69 eV/f.u.; total moment = 0.00 μB/atom
1.0
4.020 0.000 0.000
0.000 8.122 0.306
-2.010 -2.323 8.474
S Sm Ho La
6 3 1 2
Direct
0.996 0.239 0.993 S
0.664 0.590 0.329 S
0.336 0.410 0.671 S
0.662 0.075 0.325 S
0.004 0.761 0.007 S
0.338 0.925 0.675 S
0.500 0.500 0.000 Sm
0.831 0.166 0.662 Sm
0.169 0.834 0.338 Sm
0.500 0.000 0.000 Ho
0.166 0.334 0.332 La
0.834 0.666 0.668 La

(7)
LaSm3Ho2S6, relaxed, DFT PBE; uncorrected formation energy = -24.35 eV/f.u.; total moment = 0.00 μB/atom
1.0
6.926 -0.010 -0.003
-3.470 5.994 -0.003
-1.156 -2.002 6.513
Ho S Sm La
2 6 3 1
Direct
0.333 0.667 0.000 Ho
0.667 0.333 0.000 Ho
0.265 0.265 0.758 S
0.428 0.082 0.247 S
0.735 0.735 0.242 S
0.918 0.572 0.753 S
0.572 0.918 0.753 S
0.082 0.428 0.247 S
0.500 0.500 0.500 Sm
0.838 0.162 0.500 Sm
0.162 0.838 0.500 Sm
0.000 0.000 0.000 La

(8)
LaSm4Ho3S8, relaxed, DFT PBE; uncorrected formation energy = -32.21 eV/f.u.; total moment = 0.00 μB/atom
1.0
7.962 0.000 0.000
0.000 7.972 0.001
-3.981 -3.977 5.633
S Ho Sm La
8 3 4 1
Direct
0.253 0.744 0.991 S
0.747 0.256 0.009 S
0.746 0.737 0.492 S
0.254 0.263 0.508 S
0.738 0.744 0.991 S
0.253 0.744 0.506 S
0.262 0.256 0.009 S
0.747 0.256 0.494 S
0.000 0.500 0.500 Ho
0.500 0.500 0.000 Ho
0.500 0.500 0.500 Ho
0.500 0.000 0.500 Sm
0.000 0.000 0.000 Sm
0.500 0.000 0.000 Sm
0.000 0.000 0.500 Sm
0.000 0.500 0.000 La

no.,DOS at the Fermi energy (states/eV/cell)
1,4.88
2,0.00
3,8.72
4,6.47
5,5.88
6,5.89
7,5.13
8,8.23